# 1
GGA-PBEsol BaLaZn, relaxed; raw total energy = -3.112 eV/atom; symmetry = I4mm; calculated formation energy = -0.09 eV per atom; calculated volume = 101.89 Å³/cell; calculated density = 5.57 g/cm³
1.0
-1.9392 1.9392 6.7736
1.9392 -1.9392 6.7736
1.9392 1.9392 -6.7736
Ba La Zn
1 1 1
Direct
0.0000 0.0000 0.0000
0.2654 0.2654 0.0000
0.6575 0.6575 0.0000

---

# 2
GGA-PBEsol Ba2LaZr, relaxed; raw total energy = -4.176 eV/atom; symmetry = I-4m2; calculated formation energy = 0.51 eV per atom; calculated volume = 142.93 Å³/cell; calculated density = 5.86 g/cm³
1.0
-2.6882 2.6882 4.9450
2.6882 -2.6882 4.9450
2.6882 2.6882 -4.9450
Ba La Zr
2 1 1
Direct
0.0000 0.0000 0.0000
0.7500 0.2500 0.5000
0.5000 0.5000 0.0000
0.2500 0.7500 0.5000

---

# 3
GGA-PBEsol Ba2LaZr, relaxed; raw total energy = -4.163 eV/atom; symmetry = P4/mmm; calculated formation energy = 0.52 eV per atom; calculated volume = 143.95 Å³/cell; calculated density = 5.82 g/cm³
1.0
5.0909 0.0000 0.0000
0.0000 5.0909 0.0000
0.0000 0.0000 5.5542
Ba La Zr
2 1 1
Direct
0.0000 0.5000 0.0000
0.5000 0.0000 0.0000
0.0000 0.0000 0.5000
0.5000 0.5000 0.5000

---

# 4
GGA-PBEsol BaLa2Zr, relaxed; raw total energy = -5.106 eV/atom; symmetry = I-4m2; calculated formation energy = 0.38 eV per atom; calculated volume = 129.42 Å³/cell; calculated density = 6.50 g/cm³
1.0
-2.5367 2.5367 5.0281
2.5367 -2.5367 5.0281
2.5367 2.5367 -5.0281
Ba La Zr
1 2 1
Direct
0.0000 0.0000 0.0000
0.5000 0.5000 0.0000
0.7500 0.2500 0.5000
0.2500 0.7500 0.5000

---

# 5
GGA-PBEsol Ba2LaZr, relaxed; raw total energy = -4.157 eV/atom; symmetry = I4/mmm; calculated formation energy = 0.53 eV per atom; calculated volume = 143.57 Å³/cell; calculated density = 5.84 g/cm³
1.0
-2.5649 2.5649 5.4559
2.5649 -2.5649 5.4559
2.5649 2.5649 -5.4559
Ba La Zr
2 1 1
Direct
0.2500 0.7500 0.5000
0.7500 0.2500 0.5000
0.0000 0.0000 0.0000
0.5000 0.5000 0.0000

---

# 6
GGA-PBEsol BaLi, relaxed; raw total energy = -1.960 eV/atom; symmetry = P6_3/mmc; calculated formation energy = 0.10 eV per atom; calculated volume = 164.34 Å³/cell; calculated density = 2.92 g/cm³
1.0
6.0251 0.0000 0.0000
-3.0126 5.2179 0.0000
0.0000 0.0000 5.2273
Ba Li
2 2
Direct
0.3333 0.6667 0.2500
0.6667 0.3333 0.7500
0.0000 0.0000 0.0000
0.0000 0.0000 0.5000

---

Density of states at the Fermi level for every record listed, in sequence, given in states/eV/cell: 2.75 7.01 6.64 6.48 7.14 5.14.
Total magnetic moment for every record listed, in sequence, given in μB per formula unit: 0.00 0.02 0.00 0.00 0.00 0.00.